[1]
VASP calculation (GGA-PBE) on an optimized crystal structure of Ca2TbSn. Values from VASP.

```
&SYSTEM
  ibrav = 0, nat = 4, ntyp = 3
/
ATOMIC_SPECIES
Ca 40.08 Ca.upf
Tb 158.93 Tb.upf
Sn 118.71 Sn.upf
ATOMIC_POSITIONS crystal
Ca 0.085 0.085 0.085
Ca 0.915 0.915 0.915
Tb 0.500 0.500 0.500
Sn 0.000 0.000 0.000
CELL_PARAMETERS angstrom
1.807 1.044 12.436
-1.807 1.044 12.436
0.000 -2.087 12.436
```

=====

[2]
VASP calculation (GGA-PBE) on an optimized crystal structure of CaTb2Sn. Values from VASP.

```
&SYSTEM
  ibrav = 0, nat = 4, ntyp = 3
/
ATOMIC_SPECIES
Ca 40.08 Ca.upf
Tb 158.93 Tb.upf
Sn 118.71 Sn.upf
ATOMIC_POSITIONS crystal
Ca 0.000 0.000 0.000
Tb 0.000 0.500 0.500
Tb 0.500 0.000 0.500
Sn 0.500 0.500 0.000
CELL_PARAMETERS angstrom
4.910 0.000 0.000
0.000 4.910 0.000
0.000 0.000 4.814
```

=====

[3]
VASP calculation (GGA-PBE) on an optimized crystal structure of Ca2TbSn. Values from VASP.

```
&SYSTEM
  ibrav = 0, nat = 4, ntyp = 3
/
ATOMIC_SPECIES
Ca 40.08 Ca.upf
Tb 158.93 Tb.upf
Sn 118.71 Sn.upf
ATOMIC_POSITIONS crystal
Ca 0.000 0.500 0.000
Ca 0.500 0.000 0.000
Tb 0.000 0.000 0.500
Sn 0.500 0.500 0.500
CELL_PARAMETERS angstrom
4.856 0.000 0.000
0.000 4.856 0.000
0.000 0.000 5.143
```

=====

no.,ΔE_f (eV per atom),DOS at the Fermi energy (states/eV per cell),raw total energy (eV/f.u.)
1,0.08,4.00,-12.3
2,-0.37,3.39,-16.7
3,-0.38,2.93,-14.1